1.
# Ir7C6 | Alexandria via LeMat-Bulk | GGA-PBE | relaxed
# - E_tot: -7.6642 eV per atom
# - Formation energy from the elements: 1.364 eV per atom
# - Spin magnetization: 0.00 μB per formula unit
# - Density of states at the Fermi level: 37.77 states/eV/cell
data_Ir7C6
_space_group_name_H-M_alt 'R -3 m'
_space_group_IT_number 166
_space_group_name_Hall '-R 3 2"'
_cell_length_a 5.6605
_cell_length_b 5.6605
_cell_length_c 19.1527
_cell_angle_alpha 90.00
_cell_angle_beta 90.00
_cell_angle_gamma 120.00
loop_
_atom_site_label
_atom_site_type_symbol
_atom_site_fract_x
_atom_site_fract_y
_atom_site_fract_z
_atom_site_occupancy
Ir1 Ir 0.0000 0.0000 0.0000 1
Ir2 Ir 0.0238 0.5119 0.4291 1
C1 C 0.0000 0.0000 0.1515 1
C2 C 0.0000 0.0000 0.3160 1
C3 C 0.0000 0.0000 0.3863 1


2.
# BaSiC | Alexandria via LeMat-Bulk | GGA-PBE | relaxed
# - Uncorrected formation energy: 50.2 kJ/mol of formula units
# - E_tot: -5.3497 eV per atom
# - ΔE to the lowest computed polymorph: 0.000 eV per atom
# - Spin magnetization: 0.00 μB per formula unit
data_BaSiC
_space_group_name_H-M_alt 'P n m a'
_space_group_IT_number 62
_cell_length_a 9.034
_cell_length_b 5.943
_cell_length_c 11.502
_cell_angle_alpha 90.00
_cell_angle_beta 90.00
_cell_angle_gamma 90.00
loop_
_space_group_symop_operation_xyz
'x,y,z'
'-x,-y,-z'
'-x+1/2,-y,z+1/2'
'x+1/2,y,-z+1/2'
'x+1/2,-y+1/2,-z+1/2'
'-x+1/2,y+1/2,z+1/2'
'-x,y+1/2,-z'
'x,-y+1/2,z'
loop_
_atom_site_label
_atom_site_type_symbol
_atom_site_fract_x
_atom_site_fract_y
_atom_site_fract_z
_atom_site_occupancy
Ba1 Ba 0.024 0.250 0.148 1
Ba2 Ba 0.115 0.250 0.577 1
Si1 Si 0.214 0.551 0.335 1
C1 C 0.152 0.250 0.929 1
C2 C 0.199 0.750 0.476 1


3.
# Dy2ScTe2O2 | Alexandria via LeMat-Bulk | GGA-PBE | relaxed
# - Uncorrected formation energy: -1483.3 kJ/mol of formula units
# - E_tot: -6.7298 eV per atom
# - Spin magnetization: 0.00 μB per formula unit
# - Density of states at the Fermi level: 6.25 states/eV/cell
data_Dy2ScTe2O2
_space_group_name_H-M_alt 'I 4/m m m'
_space_group_IT_number 139
_space_group_name_Hall '-I 4 2'
_cell_length_a 4.132
_cell_length_b 4.132
_cell_length_c 16.628
_cell_angle_alpha 90.00
_cell_angle_beta 90.00
_cell_angle_gamma 90.00
loop_
_atom_site_label
_atom_site_type_symbol
_atom_site_fract_x
_atom_site_fract_y
_atom_site_fract_z
_atom_site_occupancy
Dy1 Dy 0.000 0.000 0.102 1
Sc1 Sc 0.000 0.000 0.500 1
Te1 Te 0.000 0.000 0.322 1
O1 O 0.000 0.500 0.000 1


4.
# KCa4Pt | Alexandria via LeMat-Bulk | GGA-PBE | relaxed
# - E_tot: -2.0753 eV per atom
# - Formation energy from the elements: 0.449 eV per atom
# - Spin magnetization: 0.00 μB per formula unit
# - Density of states at the Fermi level: 26.73 states/eV/cell
data_KCa4Pt
_space_group_name_H-M_alt 'F -4 3 m'
_space_group_IT_number 216
_space_group_name_Hall 'F -4 2 3'
_cell_length_a 9.684
_cell_length_b 9.684
_cell_length_c 9.684
_cell_angle_alpha 90.00
_cell_angle_beta 90.00
_cell_angle_gamma 90.00
loop_
_atom_site_label
_atom_site_type_symbol
_atom_site_fract_x
_atom_site_fract_y
_atom_site_fract_z
_atom_site_occupancy
K1 K 0.000 0.000 0.000 1
Ca1 Ca 0.124 0.124 0.376 1
Pt1 Pt 0.250 0.250 0.750 1


5.
# P6Pb5O11 | Alexandria via LeMat-Bulk | GGA-PBE | relaxed
# - Uncorrected formation energy: -2427.1 kJ/mol of formula units
# - E_tot: -5.9407 eV per atom
# - Spin magnetization: 0.00 μB per formula unit
# - Density of states at the Fermi level: 3.42 states/eV/cell
data_P6Pb5O11
_space_group_name_H-M_alt 'P 1'
_space_group_IT_number 1
_cell_length_a 4.548
_cell_length_b 7.613
_cell_length_c 13.566
_cell_angle_alpha 79.50
_cell_angle_beta 83.50
_cell_angle_gamma 83.96
loop_
_space_group_symop_operation_xyz
'x,y,z'
loop_
_atom_site_label
_atom_site_type_symbol
_atom_site_fract_x
_atom_site_fract_y
_atom_site_fract_z
_atom_site_occupancy
P1 P 0.000 0.000 0.000 1
P2 P 0.089 0.710 0.233 1
P3 P 0.381 0.158 0.350 1
P4 P 0.484 0.494 0.913 1
P5 P 0.616 0.717 0.560 1
P6 P 0.706 0.135 0.672 1
Pb1 Pb 0.184 0.414 0.483 1
Pb2 Pb 0.216 0.930 0.734 1
Pb3 Pb 0.518 0.800 0.082 1
Pb4 Pb 0.881 0.263 0.152 1
Pb5 Pb 0.918 0.951 0.416 1
O1 O 0.002 0.047 0.884 1
O2 O 0.182 0.642 0.341 1
O3 O 0.304 0.660 0.866 1
O4 O 0.320 0.835 0.561 1
O5 O 0.380 0.220 0.230 1
O6 O 0.585 0.515 0.016 1
O7 O 0.624 0.559 0.502 1
O8 O 0.734 0.146 0.555 1
O9 O 0.764 0.682 0.656 1
O10 O 0.911 0.582 0.192 1
O11 O 0.919 0.901 0.229 1


6.
# SrHfN2 | Alexandria via LeMat-Bulk | GGA-PBE | relaxed
# - Uncorrected formation energy: -493.5 kJ/mol of formula units
# - E_tot: -8.3502 eV per atom
# - Spin magnetization: 0.00 μB per formula unit
data_SrHfN2
_space_group_name_H-M_alt 'R 3 m'
_space_group_IT_number 160
_space_group_name_Hall 'R 3 -2"'
_cell_length_a 3.3287
_cell_length_b 3.3287
_cell_length_c 18.1919
_cell_angle_alpha 90.00
_cell_angle_beta 90.00
_cell_angle_gamma 120.00
loop_
_atom_site_label
_atom_site_type_symbol
_atom_site_fract_x
_atom_site_fract_y
_atom_site_fract_z
_atom_site_occupancy
Sr1 Sr 0.0000 0.0000 0.0000 1
Hf1 Hf 0.0000 0.0000 0.1719 1
N1 N 0.0000 0.0000 0.5734 1
N2 N 0.0000 0.0000 0.7758 1


7.
# Sc4CdNi | Alexandria via LeMat-Bulk | GGA-PBE | relaxed
# - E_tot: -5.4114 eV per atom
# - ΔE to the lowest computed polymorph: 0.229 eV per atom
# - Formation energy from the elements: -0.074 eV per atom
# - Spin magnetization: 0.00 μB per formula unit
# - Density of states at the Fermi level: 15.40 states/eV/cell
data_Sc4CdNi
_space_group_name_H-M_alt 'C 1 2/m 1'
_space_group_IT_number 12
_cell_length_a 9.975
_cell_length_b 3.502
_cell_length_c 8.426
_cell_angle_alpha 90.00
_cell_angle_beta 110.37
_cell_angle_gamma 90.00
loop_
_space_group_symop_operation_xyz
'x,y,z'
'-x,-y,-z'
'-x,y,-z'
'x,-y,z'
'x+1/2,y+1/2,z'
'-x+1/2,-y+1/2,-z'
'-x+1/2,y+1/2,-z'
'x+1/2,-y+1/2,z'
loop_
_atom_site_label
_atom_site_type_symbol
_atom_site_fract_x
_atom_site_fract_y
_atom_site_fract_z
_atom_site_occupancy
Sc1 Sc 0.121 0.000 0.389 1
Sc2 Sc 0.161 0.500 0.822 1
Cd1 Cd 0.000 0.000 0.000 1
Ni1 Ni 0.000 0.500 0.500 1


8.
# CaTa2Cr | Alexandria via LeMat-Bulk | GGA-PBE | relaxed
# - E_tot: -8.2706 eV per atom
# - ΔE to the lowest computed polymorph: 0.089 eV per atom
# - Formation energy from the elements: 0.562 eV per atom
# - Spin magnetization: 0.00 μB per formula unit
# - Density of states at the Fermi level: 10.13 states/eV/cell
data_CaTa2Cr
_space_group_name_H-M_alt 'C m m 2'
_space_group_IT_number 35
_cell_length_a 3.306
_cell_length_b 4.808
_cell_length_c 9.600
_cell_angle_alpha 90.00
_cell_angle_beta 90.00
_cell_angle_gamma 90.00
loop_
_space_group_symop_operation_xyz
'x,y,z'
'-x,-y,z'
'-x,y,z'
'x,-y,z'
'x+1/2,y+1/2,z'
'-x+1/2,-y+1/2,z'
'-x+1/2,y+1/2,z'
'x+1/2,-y+1/2,z'
loop_
_atom_site_label
_atom_site_type_symbol
_atom_site_fract_x
_atom_site_fract_y
_atom_site_fract_z
_atom_site_occupancy
Ca1 Ca 0.000 0.000 0.000 1
Ta1 Ta 0.000 0.000 0.456 1
Ta2 Ta 0.000 0.500 0.697 1
Cr1 Cr 0.000 0.500 0.260 1


9.
# TbCeDy2Er | Alexandria via LeMat-Bulk | GGA-PBE | relaxed
# - E_tot: -4.5665 eV per atom
# - Formation energy from the elements: 0.300 eV per atom
# - Spin magnetization: 1.66 μB per formula unit
# - Density of states at the Fermi level: 19.13 states/eV/cell
data_TbCeDy2Er
_space_group_name_H-M_alt 'P m m a'
_space_group_IT_number 51
_cell_length_a 5.849
_cell_length_b 7.803
_cell_length_c 7.024
_cell_angle_alpha 90.00
_cell_angle_beta 90.00
_cell_angle_gamma 90.00
loop_
_space_group_symop_operation_xyz
'x,y,z'
'-x,-y,-z'
'-x+1/2,-y,z'
'x+1/2,y,-z'
'x+1/2,-y,-z'
'-x+1/2,y,z'
'-x,y,-z'
'x,-y,z'
loop_
_atom_site_label
_atom_site_type_symbol
_atom_site_fract_x
_atom_site_fract_y
_atom_site_fract_z
_atom_site_occupancy
Tb1 Tb 0.250 0.000 0.160 1
Ce1 Ce 0.000 0.500 0.000 1
Dy1 Dy 0.250 0.205 0.683 1
Er1 Er 0.250 0.500 0.396 1


10.
# PmTm2NpAs4 | Alexandria via LeMat-Bulk | GGA-PBE | relaxed
# - E_tot: -6.9433 eV per atom
# - Formation energy from the elements: -1.289 eV per atom
# - Spin magnetization: 3.78 μB per formula unit
# - Density of states at the Fermi level: 11.43 states/eV/cell
data_PmTm2NpAs4
_space_group_name_H-M_alt 'P 1 2/m 1'
_space_group_IT_number 10
_cell_length_a 7.120
_cell_length_b 4.113
_cell_length_c 7.137
_cell_angle_alpha 90.00
_cell_angle_beta 109.36
_cell_angle_gamma 90.00
loop_
_space_group_symop_operation_xyz
'x,y,z'
'-x,-y,-z'
'-x,y,-z'
'x,-y,z'
loop_
_atom_site_label
_atom_site_type_symbol
_atom_site_fract_x
_atom_site_fract_y
_atom_site_fract_z
_atom_site_occupancy
Pm1 Pm 0.000 0.000 0.000 1
Tm1 Tm 0.500 0.000 0.500 1
Tm2 Tm 0.500 0.500 0.000 1
Np1 Np 0.000 0.500 0.500 1
As1 As 0.255 0.000 0.747 1
As2 As 0.257 0.500 0.258 1


11.
# Cs2PCl5O | Alexandria via LeMat-Bulk | GGA-PBE | relaxed
# - Uncorrected formation energy: -1151.0 kJ/mol of formula units
# - E_tot: -3.6930 eV per atom
# - Spin magnetization: 0.08 μB per formula unit
data_Cs2PCl5O
_space_group_name_H-M_alt 'I 4 m m'
_space_group_IT_number 107
_space_group_name_Hall 'I 4 -2'
_cell_length_a 7.190
_cell_length_b 7.190
_cell_length_c 10.634
_cell_angle_alpha 90.00
_cell_angle_beta 90.00
_cell_angle_gamma 90.00
loop_
_atom_site_label
_atom_site_type_symbol
_atom_site_fract_x
_atom_site_fract_y
_atom_site_fract_z
_atom_site_occupancy
Cs1 Cs 0.000 0.500 0.000 1
P1 P 0.000 0.000 0.224 1
Cl1 Cl 0.000 0.000 0.446 1
Cl2 Cl 0.222 0.222 0.248 1
O1 O 0.000 0.000 0.083 1


12.
# YRe2Si | Alexandria via LeMat-Bulk | GGA-PBE | relaxed
# - Uncorrected formation energy: 109.7 kJ/mol of formula units
# - E_tot: -8.9115 eV per atom
# - Spin magnetization: 0.43 μB per formula unit
# - Density of states at the Fermi level: 11.93 states/eV/cell
data_YRe2Si
_space_group_name_H-M_alt 'R 3 m'
_space_group_IT_number 160
_space_group_name_Hall 'R 3 -2"'
_cell_length_a 2.9293
_cell_length_b 2.9293
_cell_length_c 27.9256
_cell_angle_alpha 90.00
_cell_angle_beta 90.00
_cell_angle_gamma 120.00
loop_
_atom_site_label
_atom_site_type_symbol
_atom_site_fract_x
_atom_site_fract_y
_atom_site_fract_z
_atom_site_occupancy
Y1 Y 0.0000 0.0000 0.0000 1
Re1 Re 0.0000 0.0000 0.5025 1
Re2 Re 0.0000 0.0000 0.7615 1
Si1 Si 0.0000 0.0000 0.2393 1